[1]
Material: HoAlH
Method: DFT, PBE-GGA
State: optimized geometry

For the energy above the most stable polymorph in this dataset, the calculation gives 0.0 meV/atom.

The structure belongs to space group C2/m (No. 12); the cell edges are 7.1469, 4.1297 and 7.5452 Å and the angles 90.00°, 108.35° and 90.00°. The asymmetric unit holds Ho at (0.0993, 0.0000, 0.3011), Al at (0.1576, 0.5000, 0.9713) and H at (0.2025, 0.0000, 0.6082).



[2]
Material: PaTiSe
Method: DFT, PBE-GGA
State: optimized geometry

For the energy above the most stable polymorph in this dataset, the calculation gives 61.7 meV/atom. The value obtained for the formation energy without anion corrections is -0.45 eV/atom.

The structure belongs to space group Cc (No. 9); the cell edges are 16.8028, 5.5665 and 10.6562 Å and the angles 90.00°, 128.86° and 90.00°. The asymmetric unit holds Pa at (0.0000, 0.0524, 0.0000), Pa at (0.0979, 0.4203, 0.4188), Pa at (0.3702, 0.3832, 0.0842), Ti at (0.1076, 0.0576, 0.8526), Ti at (0.1171, 0.4309, 0.7076), Ti at (0.2318, 0.0299, 0.2340), Se at (0.2807, 0.4739, 0.2498), Se at (0.2893, 0.1089, 0.5401) and Se at (0.4341, 0.0538, 0.9393).



[3]
Material: VCrNiPt
Method: DFT, PBE-GGA
State: optimized geometry

The calculation puts the formation energy at -27.18 kJ/mol of atoms.

The structure belongs to space group Pmmm (No. 47); the cell edges are 3.6675, 3.6708 and 3.8552 Å and the angles 90.00°, 90.00° and 90.00°. The asymmetric unit holds V at (0.0000, 0.0000, 0.0000), Cr at (0.5000, 0.5000, 0.0000), Ni at (0.0000, 0.5000, 0.5000) and Pt at (0.5000, 0.0000, 0.5000).